1.
The following is a PBE-GGA calculation of a geometry-optimized SmMg2Ag2 structure, from the Alexandria database.

abc: 4.477 4.477 23.180
angles: 90.00 90.00 90.00
Space group I4/mmm (No. 139)
Symmetry-distinct sites (fractional):
Sm (0.000, 0.000, 0.127) x4
Mg (0.000, 0.000, 0.315) x4
Mg (0.000, 0.500, 0.000) x4
Ag (0.000, 0.000, 0.428) x4
Ag (0.000, 0.500, 0.250) x4

Properties
ΔH_f (0 K), eV per atom: -0.1590



2.
The following is a PBE-GGA calculation of a geometry-optimized SmMg3Ag structure, from the Alexandria database.

abc: 9.256 4.357 12.124
angles: 90.00 90.00 90.00
Space group Pnma (No. 62)
Symmetry-distinct sites (fractional):
Sm (0.167, 0.250, 0.007) x4
Mg (0.054, 0.250, 0.415) x4
Mg (0.096, 0.750, 0.226) x4
Mg (0.149, 0.750, 0.791) x4
Ag (0.137, 0.250, 0.633) x4

Properties
ΔH_f (0 K), eV per atom: -0.1389



3.
The following is a PBE-GGA calculation of a geometry-optimized SmMg2Ag structure, from the Alexandria database.

abc: 16.691 8.134 5.723
angles: 90.00 90.00 90.00
Space group Pnma (No. 62)
Symmetry-distinct sites (fractional):
Sm (0.106, 0.250, 0.248) x4
Sm (0.139, 0.750, 0.450) x4
Mg (0.036, 0.055, 0.747) x8
Mg (0.215, 0.554, 0.952) x8
Ag (0.069, 0.750, 0.959) x4
Ag (0.182, 0.250, 0.742) x4

Properties
ΔH_f (0 K), eV per atom: -0.2089



4.
The following is a PBE-GGA calculation of a geometry-optimized SmMg2Ag structure, from the Alexandria database.

abc: 3.428 3.428 8.023
angles: 90.00 90.00 90.00
Space group P4/mmm (No. 123)
Symmetry-distinct sites (fractional):
Sm (0.000, 0.000, 0.000) x1
Mg (0.500, 0.500, 0.301) x2
Ag (0.000, 0.000, 0.500) x1

Properties
ΔH_f (0 K), eV per atom: -0.1315



5.
The following is a PBE-GGA calculation of a geometry-optimized SmMg3Ag3 structure, from the Alexandria database.

abc: 8.3501 8.3501 4.9859
angles: 90.00 90.00 120.00
Space group P6_3/m (No. 176)
Symmetry-distinct sites (fractional):
Sm (0.3333, 0.6667, 0.2500) x2
Mg (0.0080, 0.7739, 0.7500) x6
Ag (0.0791, 0.4660, 0.7500) x6

Properties
ΔH_f (0 K), eV per atom: -0.1981



6.
The following is a PBE-GGA calculation of a geometry-optimized Sm4MgAg2 structure, from the Alexandria database.

abc: 5.2565 5.2565 26.4496
angles: 90.00 90.00 120.00
Space group R-3m (No. 166, hexagonal axes)
Symmetry-distinct sites (fractional):
Sm (0.0000, 0.0000, 0.1233) x6
Sm (0.0000, 0.0000, 0.2869) x6
Mg (0.0000, 0.0000, 0.5000) x3
Ag (0.0000, 0.0000, 0.4006) x6

Properties
ΔH_f (0 K), eV per atom: 0.0321



7.
The following is a PBE-GGA calculation of a geometry-optimized Sm2MgAg2 structure, from the Alexandria database.

abc: 8.039 8.039 3.990
angles: 90.00 90.00 90.00
Space group P4/mbm (No. 127)
Symmetry-distinct sites (fractional):
Sm (0.169, 0.331, 0.000) x4
Mg (0.000, 0.000, 0.500) x2
Ag (0.129, 0.629, 0.500) x4

Properties
ΔH_f (0 K), eV per atom: -0.2540



8.
The following is a PBE-GGA calculation of a geometry-optimized SmMg2Ag3 structure, from the Alexandria database.

abc: 3.429 3.429 10.628
angles: 90.00 90.00 90.00
Space group P4/mmm (No. 123)
Symmetry-distinct sites (fractional):
Sm (0.000, 0.000, 0.000) x1
Mg (0.000, 0.000, 0.345) x2
Ag (0.500, 0.500, 0.199) x2
Ag (0.500, 0.500, 0.500) x1

Properties
ΔH_f (0 K), eV per atom: -0.2355